(1)
LaHo4Zn PBE relaxed; total magnetic moment = 0.00 μB/f.u.; theoretical density = 8.186 Mg/m³; calculated total energy = -4.176 eV/atom; energy above the most stable polymorph in this dataset = 0 meV per atom
1.0
3.582 0.000 0.000
0.000 3.582 0.000
0.000 0.000 13.659
La Ho Zn
1 4 1
direct
0.000 0.000 0.000 La
0.000 0.000 0.373 Ho
0.000 0.000 0.627 Ho
0.500 0.500 0.190 Ho
0.500 0.500 0.810 Ho
0.500 0.500 0.500 Zn

(2)
CaCd2Pb PBE relaxed; total magnetic moment = 0.00 μB/f.u.; theoretical density = 6.715 Mg/m³; calculated total energy = -1.953 eV/atom
1.0
1.850 1.068 9.850
-1.850 1.068 9.850
0.000 -2.136 9.850
Ca Cd Pb
1 2 1
direct
0.000 0.000 0.000 Ca
0.491 0.491 0.491 Cd
0.751 0.751 0.751 Cd
0.242 0.242 0.242 Pb

Number 1: energy of formation -0.091 eV/atom. Number 2: energy of formation -0.068 eV/atom.